Material: LiTeI
Method: DFT, PBE
State: optimized geometry

a = 3.5023 Å, b = 3.5023 Å, c = 8.7149 Å
α = 90.00°, β = 90.00°, γ = 120.00°
Sites, in units of the cell vectors:
Li 0.0000 0.0000 0.0000
Te 0.3333 0.6667 0.7464
I 0.6667 0.3333 0.2293

Total magnetic moment = 0.00 μB per formula unit
Energy relative to the elements, uncorrected = -393 meV/atom
E above lowest polymorph = 280.9 meV/atom
E_tot = -7.783 eV/cell


Material: Sn2Te2Au
Method: DFT, PBE
State: optimized geometry

a = 6.8563 Å, b = 6.8563 Å, c = 4.0191 Å
α = 106.44°, β = 106.44°, γ = 65.75°
Sites, in units of the cell vectors:
Sn 0.2501 0.7499 0.0000
Sn 0.7499 0.2501 0.0000
Te 0.1989 0.1989 0.1915
Te 0.8011 0.8011 0.8085
Au 0.5000 0.5000 0.5000

Total magnetic moment = 0.00 μB per formula unit
Energy relative to the elements, uncorrected = -93 meV/atom
E above lowest polymorph = 0.0 meV/atom
E_tot = -18.031 eV/cell


Material: BaRe2BPd
Method: DFT, PBE
State: optimized geometry

a = 5.2227 Å, b = 5.2227 Å, c = 5.2091 Å
α = 90.00°, β = 90.00°, γ = 90.00°
Sites, in units of the cell vectors:
Ba 0.0000 0.0000 0.0000
Re 0.0000 0.5000 0.0000
Re 0.5000 0.0000 0.0000
B 0.5000 0.5000 0.5000
Pd 0.0000 0.0000 0.5000

Formation enthalpy at 0 K = 3.954 eV/atom
Total magnetic moment = 4.72 μB per formula unit
E_tot = -18.919 eV/cell


Material: CaGa3Ge3
Method: DFT, PBE
State: optimized geometry

a = 8.3748 Å, b = 8.3748 Å, c = 8.3748 Å
α = 50.94°, β = 50.94°, γ = 50.94°
Sites, in units of the cell vectors:
Ca 0.1660 0.1660 0.1660
Ca 0.8340 0.8340 0.8340
Ga 0.0337 0.3753 0.7170
Ga 0.2830 0.9663 0.6247
Ga 0.3753 0.7170 0.0337
Ga 0.6247 0.2830 0.9663
Ga 0.7170 0.0337 0.3753
Ga 0.9663 0.6247 0.2830
Ge 0.0947 0.7367 0.4170
Ge 0.2633 0.5830 0.9053
Ge 0.4170 0.0947 0.7367
Ge 0.5830 0.9053 0.2633
Ge 0.7367 0.4170 0.0947
Ge 0.9053 0.2633 0.5830

Formation enthalpy at 0 K = -0.153 eV/atom
Total magnetic moment = 0.00 μB per formula unit
E above lowest polymorph = 2.5 meV/atom
E_tot = -52.010 eV/cell


Material: Rb2SmDySe4
Method: DFT, PBE
State: optimized geometry

a = 7.4222 Å, b = 4.2856 Å, c = 8.3797 Å
α = 90.00°, β = 107.16°, γ = 90.00°
Sites, in units of the cell vectors:
Rb 0.0000 0.0000 0.0000
Rb 0.5000 0.5000 0.0000
Sm 0.0000 0.5000 0.5000
Dy 0.5000 0.0000 0.5000
Se 0.2372 0.0000 0.6981
Se 0.2725 0.5000 0.3039
Se 0.7275 0.5000 0.6961
Se 0.7628 0.0000 0.3019

Total magnetic moment = 0.00 μB per formula unit
Energy relative to the elements, uncorrected = -1738 meV/atom
E_tot = -39.096 eV/cell


Material: Tl4ReOs
Method: DFT, PBE
State: optimized geometry

a = 5.9735 Å, b = 5.9735 Å, c = 5.9735 Å
α = 60.00°, β = 60.00°, γ = 60.00°
Sites, in units of the cell vectors:
Tl 0.1249 0.1249 0.1249
Tl 0.1249 0.1249 0.6254
Tl 0.1249 0.6254 0.1249
Tl 0.6254 0.1249 0.1249
Re 0.5000 0.5000 0.5000
Os 0.7500 0.7500 0.7500

Formation enthalpy at 0 K = 1.847 eV/atom
Total magnetic moment = 5.70 μB per formula unit
E_tot = -22.063 eV/cell


Material: Nb3CrNi
Method: DFT, PBE
State: optimized geometry

a = 4.5691 Å, b = 4.5691 Å, c = 4.5691 Å
α = 90.00°, β = 90.00°, γ = 90.00°
Sites, in units of the cell vectors:
Nb 0.0000 0.0000 0.5000
Nb 0.0000 0.5000 0.0000
Nb 0.5000 0.0000 0.0000
Cr 0.5000 0.5000 0.5000
Ni 0.0000 0.0000 0.0000

Formation enthalpy at 0 K = 1.209 eV/atom
Total magnetic moment = 0.00 μB per formula unit
E above lowest polymorph = 159.2 meV/atom
E_tot = -39.567 eV/cell


Material: Ce12Ge5Ru2
Method: DFT, PBE
State: optimized geometry

a = 8.7714 Å, b = 8.7714 Å, c = 8.8431 Å
α = 92.47°, β = 92.47°, γ = 48.94°
Sites, in units of the cell vectors:
Ce 0.0193 0.0193 0.2245
Ce 0.0531 0.6104 0.4408
Ce 0.1428 0.5294 0.9504
Ce 0.3896 0.9469 0.5592
Ce 0.4672 0.4672 0.6770
Ce 0.4706 0.8572 0.0496
Ce 0.5294 0.1428 0.9504
Ce 0.5328 0.5328 0.3230
Ce 0.6104 0.0531 0.4408
Ce 0.8572 0.4706 0.0496
Ce 0.9469 0.3896 0.5592
Ce 0.9807 0.9807 0.7755
Ge 0.1687 0.1687 0.8407
Ge 0.2218 0.2218 0.2614
Ge 0.5000 0.5000 0.0000
Ge 0.7782 0.7782 0.7386
Ge 0.8313 0.8313 0.1593
Ru 0.2033 0.7967 0.5000
Ru 0.7967 0.2033 0.5000

Formation enthalpy at 0 K = -0.308 eV/atom
Total magnetic moment = 9.54 μB per formula unit
E_tot = -118.693 eV/cell


Question: Which formula does entry 2 have?
Answer: Sn2Te2Au


What did the seventh record say?
Material: Nb3CrNi
Method: DFT, PBE
State: optimized geometry

a = 4.5691 Å, b = 4.5691 Å, c = 4.5691 Å
α = 90.00°, β = 90.00°, γ = 90.00°
Sites, in units of the cell vectors:
Nb 0.0000 0.0000 0.5000
Nb 0.0000 0.5000 0.0000
Nb 0.5000 0.0000 0.0000
Cr 0.5000 0.5000 0.5000
Ni 0.0000 0.0000 0.0000

Formation enthalpy at 0 K = 1.209 eV/atom
Total magnetic moment = 0.00 μB per formula unit
E above lowest polymorph = 159.2 meV/atom
E_tot = -39.567 eV/cell